## K2AcV2O7 (PBE with a Hubbard U)

Data for an optimized crystal structure of K2AcV2O7.

a = 5.9910 Å, b = 5.9910 Å, c = 8.4994 Å
α = 69.36°, β = 69.36°, γ = 60.00°
Last column: nearest neighbours and their distance in Å.
Fractional positions:
K 0.7141 0.7141 0.8576  3 O 2.70
K 0.2859 0.2859 0.1424  3 O 2.70
Ac 0.5000 0.5000 0.5000  6 O 2.51
V 0.9219 0.9219 0.2342  4 O 1.76-1.82
V 0.0781 0.0781 0.7658  4 O 1.76-1.82
O 0.2070 0.8447 0.2974  1 V 1.76
O 0.6508 0.2070 0.2974  1 V 1.76
O 0.8447 0.6508 0.2974  1 V 1.76
O 0.3492 0.1553 0.7026  1 V 1.76
O 0.7930 0.3492 0.7026  1 V 1.76
O 0.0000 0.0000 0.0000  2 V 1.82
O 0.1553 0.7930 0.7026  1 V 1.76

Summary:
Uncorrected energy in hartree per atom: -0.2538
SG: R32